[1]
This record from OQMD via LeMat-Bulk describes a relaxed structure of CuPd2Pt. The functional is PBE.

abc: 4.377 4.377 4.377
angles: 60.00 60.00 60.00
Atoms (fractional coordinates):
Pt  0.500  0.500  0.500
Pd  0.000  0.000  0.000
Pd  0.750  0.750  0.750
Cu  0.250  0.250  0.250

## Properties
- Total magnetization: 0.05 Bohr magnetons per cell
- V: 59.3 Å³/f.u.
- ΔE_f: 0.0 eV per formula unit

---

[2]
This record from OQMD via LeMat-Bulk describes a relaxed structure of Nb11Ag3. The functional is PBE.

abc: 6.470 6.470 6.823
angles: 105.74 105.74 75.98
Atoms (fractional coordinates):
Ag  0.060  0.060  0.785
Ag  0.765  0.765  0.712
Ag  0.355  0.355  0.857
Nb  0.561  0.561  0.285
Nb  0.984  0.351  0.481
Nb  0.847  0.847  0.355
Nb  0.266  0.639  0.573
Nb  0.136  0.769  0.088
Nb  0.639  0.266  0.573
Nb  0.481  0.855  0.997
Nb  0.274  0.274  0.215
Nb  0.769  0.136  0.088
Nb  0.855  0.481  0.997
Nb  0.351  0.984  0.481

## Properties
- Total magnetization: 0.05 Bohr magnetons per cell
- V: 260.2 Å³/f.u.
- ΔE_f: 4.9 eV per formula unit

---

[3]
This record from OQMD via LeMat-Bulk describes a relaxed structure of Tb2NiPb6. The functional is PBE.

abc: 11.874 11.874 4.650
angles: 90.00 90.00 158.01
Atoms (fractional coordinates):
Tb  0.682  0.318  0.500
Tb  0.318  0.682  0.500
Pb  0.070  0.930  0.500
Pb  0.798  0.202  0.000
Pb  0.930  0.070  0.500
Pb  0.571  0.429  0.000
Pb  0.429  0.571  0.000
Pb  0.202  0.798  0.000
Ni  0.000  0.000  0.000

## Properties
- Total magnetization: 0.00 Bohr magnetons per cell
- V: 245.5 Å³/f.u.
- Total energy: -39.04 eV for the cell shown

---

[4]
This record from OQMD via LeMat-Bulk describes a relaxed structure of DySc3Pb2C2. The functional is PBE.

abc: 3.461 3.461 15.410
angles: 90.00 90.00 120.00
Atoms (fractional coordinates):
Sc  0.000  0.000  0.425
Sc  0.333  0.667  0.579
Sc  0.333  0.667  0.915
C  0.667  0.333  0.502
C  0.667  0.333  0.992
Pb  0.333  0.667  0.259
Pb  0.000  0.000  0.747
Dy  0.000  0.000  0.081

## Properties
- Total magnetization: 0.01 Bohr magnetons per cell
- V: 159.9 Å³/f.u.
- Total energy: -53.94 eV for the cell shown

---

[5]
This record from OQMD via LeMat-Bulk describes a relaxed structure of Np2AsSe. The functional is PBE.

abc: 4.124 5.812 8.202
angles: 90.00 90.00 90.00
Each line ends with the local moment (μB).
Atoms (fractional coordinates):
As  0.500  0.000  0.127  -0.11
As  0.000  0.500  0.873  -0.11
Se  0.500  0.000  0.625  -0.09
Se  0.000  0.500  0.375  -0.09
Np  0.000  0.000  0.878  3.89
Np  0.000  0.000  0.373  3.99
Np  0.500  0.500  0.627  3.99
Np  0.500  0.500  0.122  3.89

## Properties
- Total magnetization: 16.75 Bohr magnetons per cell
- V: 98.3 Å³/f.u.
- Total energy: -75.16 eV for the cell shown

---

[6]
This record from OQMD via LeMat-Bulk describes a relaxed structure of LiAgIrSe3. The functional is PBE.

abc: 7.019 7.019 9.954
angles: 90.00 90.00 30.10
Atoms (fractional coordinates):
Se  0.371  0.371  0.503
Se  0.048  0.048  0.750
Se  0.952  0.952  0.250
Se  0.371  0.371  0.997
Se  0.629  0.629  0.497
Se  0.629  0.629  0.003
Ir  0.000  0.000  0.500
Ir  0.000  0.000  0.000
Li  0.304  0.304  0.250
Li  0.696  0.696  0.750
Ag  0.643  0.643  0.250
Ag  0.357  0.357  0.750

## Properties
- Total magnetization: 0.01 Bohr magnetons per cell
- V: 122.9 Å³/f.u.
- Total energy: -51.31 eV for the cell shown

---

[7]
This record from OQMD via LeMat-Bulk describes a relaxed structure of PrHgPb. The functional is PBE.

abc: 5.135 5.135 5.135
angles: 60.00 60.00 60.00
Atoms (fractional coordinates):
Hg  0.000  0.000  0.000
Pb  0.250  0.250  0.250
Pr  0.750  0.750  0.750

## Properties
- Total magnetization: 0.00 Bohr magnetons per cell
- V: 95.8 Å³/f.u.
- Total energy: -9.79 eV for the cell shown

---

[8]
This record from OQMD via LeMat-Bulk describes a relaxed structure of Lu2Co3W4C3. The functional is PBE.

abc: 5.317 5.317 13.453
angles: 101.87 101.87 59.92
Atoms (fractional coordinates):
Lu  0.622  0.455  0.372
Lu  0.378  0.545  0.628
Lu  0.545  0.378  0.128
Lu  0.455  0.622  0.872
W  0.853  0.694  0.088
W  0.983  0.793  0.413
W  0.793  0.983  0.913
W  0.207  0.017  0.087
W  0.017  0.207  0.587
W  0.147  0.306  0.912
W  0.694  0.853  0.588
W  0.306  0.147  0.412
C  0.000  0.500  0.500
C  0.668  0.164  0.500
C  0.332  0.836  0.500
C  0.836  0.332  0.000
C  0.500  0.000  0.000
C  0.164  0.668  0.000
Co  0.083  0.917  0.250
Co  0.412  0.094  0.749
Co  0.917  0.083  0.750
Co  0.094  0.412  0.249
Co  0.588  0.906  0.251
Co  0.906  0.588  0.751

## Properties
- Total magnetization: 0.18 Bohr magnetons per cell
- V: 159.9 Å³/f.u.
- Total energy: -224.30 eV for the cell shown

---

[9]
This record from OQMD via LeMat-Bulk describes a relaxed structure of SrLiMoIr. The functional is PBE.

abc: 4.732 4.732 4.732
angles: 60.00 60.00 60.00
Atoms (fractional coordinates):
Mo  0.000  0.000  0.000
Sr  0.500  0.500  0.500
Ir  0.250  0.250  0.250
Li  0.750  0.750  0.750

## Properties
- Total magnetization: 0.10 Bohr magnetons per cell
- V: 74.9 Å³/f.u.
- Energy above the lowest structure with this stoichiometry: 99 meV per atom

---

[10]
This record from OQMD via LeMat-Bulk describes a relaxed structure of TaRe5. The functional is PBE.

abc: 5.145 5.145 8.368
angles: 90.00 90.00 120.24
Atoms (fractional coordinates):
Re  0.675  0.841  0.750
Re  0.159  0.325  0.750
Re  0.165  0.835  0.565
Re  0.500  0.500  0.000
Re  0.325  0.159  0.250
Re  0.835  0.165  0.435
Re  0.835  0.165  0.065
Re  0.165  0.835  0.935
Re  0.841  0.675  0.250
Re  0.500  0.500  0.500
Ta  0.328  0.672  0.250
Ta  0.672  0.328  0.750

## Properties
- Total magnetization: 0.01 Bohr magnetons per cell
- V: 95.7 Å³/f.u.
- Energy above the lowest structure with this stoichiometry: 224 meV per atom
- ΔE_f: 1.8 eV per formula unit

---

[11]
This record from OQMD via LeMat-Bulk describes a relaxed structure of HfCoGePt. The functional is PBE.

abc: 4.450 4.450 4.450
angles: 60.00 60.00 60.00
Each line ends with the local moment (μB).
Atoms (fractional coordinates):
Pt  0.250  0.250  0.250  0.08
Co  0.750  0.750  0.750  1.01
Hf  0.500  0.500  0.500  -0.04
Ge  0.000  0.000  0.000  0.04

## Properties
- Total magnetization: 1.08 Bohr magnetons per cell
- V: 62.3 Å³/f.u.
- Energy above the lowest structure with this stoichiometry: 0 meV per atom

---

[12]
This record from OQMD via LeMat-Bulk describes a relaxed structure of Li4HgP2. The functional is PBE.

abc: 8.431 8.431 8.431
angles: 29.76 29.76 29.76
Atoms (fractional coordinates):
Li  0.420  0.420  0.420
Li  0.580  0.580  0.580
Li  0.795  0.795  0.795
Li  0.205  0.205  0.205
Hg  0.000  0.000  0.000
P  0.100  0.100  0.100
P  0.900  0.900  0.900

## Properties
- V: 130.8 Å³/f.u.
- Total energy: -22.46 eV for the cell shown

---

[13]
This record from OQMD via LeMat-Bulk describes a relaxed structure of Sm3Pt. The functional is PBE.

abc: 7.172 9.841 6.566
angles: 90.00 90.00 90.00
Atoms (fractional coordinates):
Sm  0.526  0.750  0.864
Sm  0.320  0.061  0.673
Sm  0.680  0.561  0.327
Sm  0.820  0.061  0.827
Sm  0.026  0.750  0.636
Sm  0.820  0.439  0.827
Sm  0.180  0.939  0.173
Sm  0.320  0.439  0.673
Sm  0.180  0.561  0.173
Sm  0.680  0.939  0.327
Sm  0.474  0.250  0.136
Sm  0.974  0.250  0.364
Pt  0.885  0.750  0.061
Pt  0.385  0.750  0.439
Pt  0.115  0.250  0.939
Pt  0.615  0.250  0.561

## Properties
- Total magnetization: 0.03 Bohr magnetons per cell
- V: 115.9 Å³/f.u.
- ΔE_f: -2.6 eV per formula unit

---

[14]
This record from OQMD via LeMat-Bulk describes a relaxed structure of Hf4TlPbN2. The functional is PBE.

abc: 3.278 3.278 14.820
angles: 90.00 90.00 120.00
Atoms (fractional coordinates):
Pb  0.000  0.000  0.000
Tl  0.667  0.333  0.500
Hf  0.667  0.333  0.833
Hf  0.667  0.333  0.167
Hf  0.000  0.000  0.667
Hf  0.000  0.000  0.333
N  0.333  0.667  0.748
N  0.333  0.667  0.252

## Properties
- Total magnetization: 0.00 Bohr magnetons per cell
- V: 137.9 Å³/f.u.
- Total energy: -69.62 eV for the cell shown

---

[15]
This record from OQMD via LeMat-Bulk describes a relaxed structure of Os3C9Se2O9. The functional is PBE.

abc: 6.676 9.504 13.297
angles: 94.27 95.99 110.17
Atoms (fractional coordinates):
O  0.639  0.247  0.281
O  0.562  0.361  0.061
O  0.241  0.185  0.381
O  0.709  0.477  0.470
O  0.045  0.203  0.039
O  0.084  0.041  0.798
O  0.949  0.820  0.414
O  0.344  0.009  0.580
O  0.291  0.523  0.530
O  0.051  0.180  0.586
O  0.673  0.956  0.902
O  0.916  0.959  0.202
O  0.438  0.639  0.939
O  0.327  0.044  0.098
O  0.955  0.797  0.961
O  0.656  0.991  0.420
O  0.361  0.753  0.719
O  0.759  0.815  0.619
Se  0.499  0.562  0.249
Se  0.501  0.438  0.751
Se  0.953  0.385  0.830
Se  0.047  0.615  0.170
C  0.363  0.938  0.120
C  0.442  0.692  0.022
C  0.184  0.695  0.733
C  0.191  0.263  0.329
C  0.070  0.271  0.118
C  0.816  0.305  0.267
C  0.924  0.227  0.612
C  0.637  0.062  0.880
C  0.484  0.121  0.610
C  0.558  0.308  0.978
C  0.809  0.737  0.671
C  0.715  0.413  0.541
C  0.516  0.879  0.390
C  0.076  0.773  0.388
C  0.733  0.887  0.184
C  0.930  0.729  0.882
C  0.267  0.113  0.816
C  0.285  0.587  0.459
Os  0.434  0.768  0.155
Os  0.107  0.391  0.242
Os  0.282  0.695  0.344
Os  0.718  0.305  0.656
Os  0.566  0.232  0.845
Os  0.893  0.609  0.758

## Properties
- Total magnetization: 0.00 Bohr magnetons per cell
- V: 391.0 Å³/f.u.
- Total energy: -366.27 eV for the cell shown

---

[16]
This record from OQMD via LeMat-Bulk describes a relaxed structure of LaPr2Zn2Si4Au2. The functional is PBE.

abc: 12.808 12.808 12.808
angles: 160.86 160.55 27.42
Atoms (fractional coordinates):
Si  0.548  0.548  0.000
Si  0.691  0.191  0.500
Si  0.452  0.452  0.000
Si  0.309  0.809  0.500
La  0.000  0.000  0.000
Zn  0.405  0.905  0.500
Zn  0.595  0.095  0.500
Pr  0.854  0.354  0.500
Pr  0.146  0.646  0.500
Au  0.250  0.250  0.000
Au  0.750  0.750  0.000

## Properties
- Total magnetization: 0.00 Bohr magnetons per cell
- V: 229.3 Å³/f.u.
- Energy above the lowest structure with this stoichiometry: 38 meV per atom

---

[17]
This record from OQMD via LeMat-Bulk describes a relaxed structure of Li4CdSbPt2. The functional is PBE.

abc: 4.521 4.521 6.211
angles: 90.00 90.00 90.00
Atoms (fractional coordinates):
Cd  0.000  0.000  0.000
Pt  0.000  0.500  0.732
Pt  0.500  0.000  0.268
Li  0.000  0.000  0.500
Li  0.500  0.500  0.000
Li  0.500  0.000  0.759
Li  0.000  0.500  0.241
Sb  0.500  0.500  0.500

## Properties
- Total magnetization: 0.01 Bohr magnetons per cell
- V: 126.9 Å³/f.u.
- Total energy: -29.35 eV for the cell shown

---

[18]
This record from OQMD via LeMat-Bulk describes a relaxed structure of ErNpSc. The functional is PBE.

abc: 5.033 5.033 5.033
angles: 60.00 60.00 60.00
Atoms (fractional coordinates):
Np  0.750  0.750  0.750
Sc  0.000  0.000  0.000
Er  0.250  0.250  0.250

## Properties
- Total magnetization: 5.76 Bohr magnetons per cell
- V: 90.1 Å³/f.u.
- Energy above the lowest structure with this stoichiometry: 0 meV per atom
- ΔE_f: 3.2 eV per formula unit

---

[19]
This record from OQMD via LeMat-Bulk describes a relaxed structure of HfCoBMo. The functional is PBE.

abc: 4.279 4.279 4.279
angles: 60.00 60.00 60.00
Each line ends with the local moment (μB).
Atoms (fractional coordinates):
Mo  0.500  0.500  0.500  0.75
B  0.000  0.000  0.000  -0.01
Co  0.750  0.750  0.750  1.52
Hf  0.250  0.250  0.250  0.35

## Properties
- Total magnetization: 2.65 Bohr magnetons per cell
- V: 55.4 Å³/f.u.
- Energy above the lowest structure with this stoichiometry: 171 meV per atom

---

[20]
This record from OQMD via LeMat-Bulk describes a relaxed structure of Y2TmSc3AgTe2. The functional is PBE.

abc: 3.979 8.058 8.058
angles: 120.13 90.00 90.00
Atoms (fractional coordinates):
Te  0.500  0.666  0.335
Te  0.500  0.335  0.666
Sc  0.500  0.000  0.750
Sc  0.500  0.250  0.250
Sc  0.500  0.750  0.000
Y  0.000  0.400  0.000
Y  0.000  0.000  0.400
Ag  0.000  0.997  0.997
Tm  0.000  0.603  0.603

## Properties
- Total magnetization: 0.13 Bohr magnetons per cell
- V: 223.4 Å³/f.u.
- Total energy: -51.43 eV for the cell shown